PBE-GGA Sm3Y5Te8, optimized geometry; E_tot = -92.956 eV per cell; raw formation energy = -1334 meV/atom; DOS(E_F) = 0.7595 states/eV per atom; total moment = 0.00 μB per atom
1.0
4.384 2.531 7.218
-4.384 2.531 7.218
0.000 -5.063 7.218
Sm Y Te
3 5 8
Cartesian
-2.192 -1.266 7.218 Sm
-2.192 1.266 14.436 Sm
0.000 2.531 7.218 Sm
0.000 0.000 0.000 Y
-4.384 0.000 10.827 Y
-2.192 1.266 3.609 Y
2.192 1.266 3.609 Y
0.000 0.000 10.827 Y
-2.213 -1.277 12.599 Te
0.000 0.000 5.363 Te
0.000 -2.555 9.056 Te
-2.213 1.277 9.056 Te
2.213 -1.277 12.599 Te
0.000 2.555 12.599 Te
0.000 0.000 16.292 Te
2.213 1.277 9.056 Te